[1]
Here is LaPr2Rh9 after structural relaxation from Alexandria. Energies are from PBE.

## Properties
Total magnetization   0.000 μB per atom
N(E_F)   1.07 states/eV/atom
Space-group type   R-3m
Crystal system   trigonal
Total energy   -7.224 eV/atom
Energy relative to the elements   -504 meV per atom

Unit cell a=9.417 b=9.417 c=9.417 alpha=33.01 beta=33.01 gamma=33.01
Atoms (fractional coordinates):
La1 0.000 0.000 0.000
Pr1 0.139 0.139 0.139
Pr2 0.861 0.861 0.861
Rh1 0.083 0.581 0.581
Rh2 0.333 0.333 0.333
Rh3 0.419 0.419 0.917
Rh4 0.419 0.917 0.419
Rh5 0.500 0.500 0.500
Rh6 0.581 0.083 0.581
Rh7 0.581 0.581 0.083
Rh8 0.667 0.667 0.667
Rh9 0.917 0.419 0.419

=====

[2]
Here is LaPrRh2 after structural relaxation from Alexandria. Energies are from PBE.

## Properties
Total magnetization   0.000 μB per atom
N(E_F)   0.52 states/eV/atom
Space-group type   Amm2
Crystal system   orthorhombic
Total energy   -6.804 eV/atom
Energy relative to the elements   -701 meV per atom

Unit cell a=4.272 b=5.931 c=5.931 alpha=39.08 beta=90.00 gamma=90.00
Atoms (fractional coordinates):
La1 0.000 0.000 0.000
Pr1 0.500 0.720 0.720
Rh1 0.000 0.273 0.273
Rh2 0.500 0.448 0.448

=====

[3]
Here is La3Pr2Rh2 after structural relaxation from Alexandria. Energies are from PBE.

## Properties
Total magnetization   0.000 μB per atom
N(E_F)   1.14 states/eV/atom
Space-group type   C2/m
Crystal system   monoclinic
Total energy   -6.046 eV/atom
Energy relative to the elements   -469 meV per atom

Unit cell a=6.622 b=6.622 c=9.280 alpha=114.10 beta=114.10 gamma=34.82
Atoms (fractional coordinates):
La1 0.000 0.000 0.000
La2 0.114 0.114 0.428
La3 0.886 0.886 0.572
Pr1 0.328 0.328 0.186
Pr2 0.672 0.672 0.814
Rh1 0.326 0.326 0.753
Rh2 0.674 0.674 0.247